Here is RbLiY3 after structural relaxation from Alexandria. Energies are from PBE.

Cell: 5.7081 5.7081 5.7081 Å, 90.00 90.00 90.00°
Space group Pm-3m (No. 221)
Inequivalent atoms, fractional coordinates:
Rb1 0.0000 0.0000 0.0000
Li1 0.5000 0.5000 0.5000
Y1 0.0000 0.5000 0.5000

relative energy among the computed polymorphs: 0.0 meV per atom
total magnetization: 0.00 Bohr magnetons per cell
DOS(E_F): 1.605 states/eV per atom
formation enthalpy at 0 K: 0.638 eV/atom